Entry 1:
Computed, not measured: a relaxed structure of ZnAgSe2O8 at the PBE level of DFT.

Summary:
Space group   R-3
ΔE_f (raw)   -0.521 eV per atom

```
data_ZnAgSe2O8
_chemical_formula_sum 'Zn1 Ag1 Se2 O8'
_symmetry_space_group_name_H-M 'P 1'
_symmetry_Int_Tables_number 1
_symmetry_space_group_name_Hall 'P 1'
_cell_length_a 8.063
_cell_length_b 8.063
_cell_length_c 8.063
_cell_angle_alpha 36.05
_cell_angle_beta 36.05
_cell_angle_gamma 36.05
loop_
_atom_site_label
_atom_site_type_symbol
_atom_site_fract_x
_atom_site_fract_y
_atom_site_fract_z
Zn1 Zn 0.000 0.000 0.000
Ag1 Ag 0.500 0.500 0.500
Se1 Se 0.255 0.255 0.255
Se2 Se 0.745 0.745 0.745
O1 O 0.041 0.730 0.398
O2 O 0.180 0.180 0.180
O3 O 0.270 0.602 0.959
O4 O 0.398 0.041 0.730
O5 O 0.602 0.959 0.270
O6 O 0.730 0.398 0.041
O7 O 0.820 0.820 0.820
O8 O 0.959 0.270 0.602
```

=====

Entry 2:
Computed, not measured: a relaxed structure of K2Zr3MnS8 at the PBE level of DFT.

Summary:
Space group   R3m
ΔE_f (raw)   -1.386 eV per atom

```
data_K2Zr3MnS8
_chemical_formula_sum 'K2 Zr3 Mn1 S8'
_symmetry_space_group_name_H-M 'P 1'
_symmetry_Int_Tables_number 1
_symmetry_space_group_name_Hall 'P 1'
_cell_length_a 9.044
_cell_length_b 9.044
_cell_length_c 9.044
_cell_angle_alpha 48.71
_cell_angle_beta 48.71
_cell_angle_gamma 48.71
loop_
_atom_site_label
_atom_site_type_symbol
_atom_site_fract_x
_atom_site_fract_y
_atom_site_fract_z
K1 K 0.000 0.000 0.000
K2 K 0.349 0.349 0.349
Zr1 Zr 0.353 0.353 0.846
Zr2 Zr 0.353 0.846 0.353
Zr3 Zr 0.846 0.353 0.353
Mn1 Mn 0.845 0.845 0.845
S1 S 0.078 0.078 0.574
S2 S 0.078 0.574 0.078
S3 S 0.125 0.125 0.125
S4 S 0.127 0.620 0.620
S5 S 0.574 0.078 0.078
S6 S 0.579 0.579 0.579
S7 S 0.620 0.127 0.620
S8 S 0.620 0.620 0.127
```

=====

Entry 3:
Computed, not measured: a relaxed structure of LiEu2Pd at the PBE level of DFT.

Summary:
Space group   P4/mmm
Calculated total energy   -7.238 eV/atom

```
data_LiEu2Pd
_chemical_formula_sum 'Li1 Eu2 Pd1'
_symmetry_space_group_name_H-M 'P 1'
_symmetry_Int_Tables_number 1
_symmetry_space_group_name_Hall 'P 1'
_cell_length_a 3.740
_cell_length_b 3.740
_cell_length_c 7.874
_cell_angle_alpha 90.00
_cell_angle_beta 90.00
_cell_angle_gamma 90.00
loop_
_atom_site_label
_atom_site_type_symbol
_atom_site_fract_x
_atom_site_fract_y
_atom_site_fract_z
Li1 Li 0.000 0.000 0.000
Eu1 Eu 0.500 0.500 0.282
Eu2 Eu 0.500 0.500 0.718
Pd1 Pd 0.000 0.000 0.500
```

=====

Entry 4:
Computed, not measured: a relaxed structure of LiTbScPd at the PBE level of DFT.

Summary:
Space group   F-43m
Calculated total energy   -4.915 eV/atom

```
data_LiTbScPd
_chemical_formula_sum 'Li1 Tb1 Sc1 Pd1'
_symmetry_space_group_name_H-M 'P 1'
_symmetry_Int_Tables_number 1
_symmetry_space_group_name_Hall 'P 1'
_cell_length_a 4.893
_cell_length_b 4.893
_cell_length_c 4.893
_cell_angle_alpha 60.00
_cell_angle_beta 60.00
_cell_angle_gamma 60.00
loop_
_atom_site_label
_atom_site_type_symbol
_atom_site_fract_x
_atom_site_fract_y
_atom_site_fract_z
Li1 Li 0.000 0.000 0.000
Tb1 Tb 0.250 0.250 0.250
Sc1 Sc 0.750 0.750 0.750
Pd1 Pd 0.500 0.500 0.500
```

=====

Calculated density? In order: 4.7, 2.9, 6.3, 6.4 g/cm³.